La2NiMoO6: relaxed, GGA+U.

a = 5.6532 Å, b = 5.6532 Å, c = 5.6532 Å
α = 60.00°, β = 60.00°, γ = 60.00°
Last column: nearest neighbours and their distance in Å.
Atoms (fractional coordinates):
La 0.2500 0.2500 0.2500  12 O 2.83
O 0.7486 0.2514 0.7486  1 Ni 1.99, 1 Mo 2.01
Ni 0.5000 0.5000 0.5000  6 O 1.99
O 0.2514 0.2514 0.7486  1 Ni 1.99, 1 Mo 2.01
O 0.7486 0.7486 0.2514  1 Ni 1.99, 1 Mo 2.01
O 0.7486 0.2514 0.2514  1 Ni 1.99, 1 Mo 2.01
O 0.2514 0.7486 0.7486  1 Ni 1.99, 1 Mo 2.01
Mo 0.0000 0.0000 0.0000  6 O 2.01
La 0.7500 0.7500 0.7500  12 O 2.83
O 0.2514 0.7486 0.2514  1 Ni 1.99, 1 Mo 2.01

Computed properties:
* density of states at the Fermi level: 0.4588 states/eV per atom
* total energy: -7.2442 eV per atom
* M_tot: 4.00 Bohr magnetons per cell